1.
LiAcTlIn: optimized geometry, PBE-GGA.

DOS at the Fermi energy	6.93	states/eV per cell
E	-3.100	eV per atom
energy relative to the elements	-123	kJ/mol of formula units

Unit cell a=7.7786 b=7.7786 c=7.7786 alpha=90.00 beta=90.00 gamma=90.00
Last column: nearest neighbours and their distance in Å.
Element x y z (fractional)
Li  0.0000  0.0000  0.0000  4 In 3.37, 4 Tl 3.37
Li  0.0000  0.5000  0.5000  4 In 3.37, 4 Tl 3.37
Li  0.5000  0.0000  0.5000  4 In 3.37, 4 Tl 3.37
Li  0.5000  0.5000  0.0000  4 In 3.37, 4 Tl 3.37
Ac  0.0000  0.0000  0.5000  4 Tl 3.37, 4 In 3.37
Ac  0.0000  0.5000  0.0000  4 Tl 3.37, 4 In 3.37
Ac  0.5000  0.0000  0.0000  4 Tl 3.37, 4 In 3.37
Ac  0.5000  0.5000  0.5000  4 Tl 3.37, 4 In 3.37
Tl  0.2500  0.2500  0.7500  4 Ac 3.37, 4 Li 3.37
Tl  0.2500  0.7500  0.2500  4 Ac 3.37, 4 Li 3.37
Tl  0.7500  0.2500  0.2500  4 Ac 3.37, 4 Li 3.37
Tl  0.7500  0.7500  0.7500  4 Li 3.37, 4 Ac 3.37
In  0.2500  0.2500  0.2500  4 Ac 3.37, 4 Li 3.37
In  0.2500  0.7500  0.7500  4 Ac 3.37, 4 Li 3.37
In  0.7500  0.2500  0.7500  4 Ac 3.37, 4 Li 3.37
In  0.7500  0.7500  0.2500  4 Ac 3.37, 4 Li 3.37

2.
LiAc2Tl6In: optimized geometry, PBE-GGA.

DOS at the Fermi energy	12.02	states/eV per cell
E	-2.845	eV per atom
energy relative to the elements	-133	kJ/mol of formula units

Unit cell a=13.4531 b=13.4531 c=13.4531 alpha=32.00 beta=32.00 gamma=32.00
Last column: nearest neighbours and their distance in Å.
Element x y z (fractional)
Li  0.0000  0.0000  0.0000  6 Tl 2.64
Li  0.5000  0.5000  0.5000  6 Tl 2.77, 2 In 2.84
Ac  0.1095  0.1095  0.1095  12 Tl 3.66-3.85
Ac  0.2859  0.2859  0.2859  12 Tl 3.72-3.79
Ac  0.7141  0.7141  0.7141  12 Tl 3.72-3.79
Ac  0.8905  0.8905  0.8905  12 Tl 3.66-3.85
Tl  0.0799  0.6624  0.6624  1 Li 2.77, 1 In 2.98, 2 Tl 3.10
Tl  0.2121  0.2121  0.6795  1 Li 2.64
Tl  0.2121  0.6795  0.2121  1 Li 2.64
Tl  0.3205  0.7879  0.7879  1 Li 2.64
Tl  0.3376  0.3376  0.9201  1 Li 2.77, 1 In 2.98, 2 Tl 3.10
Tl  0.3376  0.9201  0.3376  1 Li 2.77, 1 In 2.98, 2 Tl 3.10
Tl  0.6624  0.0799  0.6624  1 Li 2.77, 1 In 2.98, 2 Tl 3.10
Tl  0.6624  0.6624  0.0799  1 Li 2.77, 1 In 2.98, 2 Tl 3.10
Tl  0.6795  0.2121  0.2121  1 Li 2.64
Tl  0.7879  0.3205  0.7879  1 Li 2.64
Tl  0.7879  0.7879  0.3205  1 Li 2.64
Tl  0.9201  0.3376  0.3376  1 Li 2.77, 1 In 2.98, 2 Tl 3.10
In  0.4258  0.4258  0.4258  1 Li 2.84, 6 Tl 2.98
In  0.5742  0.5742  0.5742  1 Li 2.84, 6 Tl 2.98

3.
LiAcTmIn: optimized geometry, PBE-GGA.

DOS at the Fermi energy	13.66	states/eV per cell
E	-3.298	eV per atom
energy relative to the elements	4	kJ/mol of formula units

Unit cell a=7.7360 b=7.7360 c=7.7360 alpha=90.00 beta=90.00 gamma=90.00
Last column: nearest neighbours and their distance in Å.
Element x y z (fractional)
Li  0.0000  0.0000  0.0000  4 In 3.35, 4 Ac 3.35
Li  0.0000  0.5000  0.5000  4 In 3.35, 4 Ac 3.35
Li  0.5000  0.0000  0.5000  4 In 3.35, 4 Ac 3.35
Li  0.5000  0.5000  0.0000  4 In 3.35, 4 Ac 3.35
Ac  0.2500  0.2500  0.2500  4 Li 3.35, 4 Tm 3.35
Ac  0.2500  0.7500  0.7500  4 Li 3.35, 4 Tm 3.35
Ac  0.7500  0.2500  0.7500  4 Li 3.35, 4 Tm 3.35
Ac  0.7500  0.7500  0.2500  4 Li 3.35, 4 Tm 3.35
Tm  0.0000  0.0000  0.5000  4 Ac 3.35, 4 In 3.35
Tm  0.0000  0.5000  0.0000  4 Ac 3.35, 4 In 3.35
Tm  0.5000  0.0000  0.0000  4 Ac 3.35, 4 In 3.35
Tm  0.5000  0.5000  0.5000  4 Ac 3.35, 4 In 3.35
In  0.2500  0.2500  0.7500  4 Tm 3.35, 4 Li 3.35
In  0.2500  0.7500  0.2500  4 Tm 3.35, 4 Li 3.35
In  0.7500  0.2500  0.2500  4 Tm 3.35, 4 Li 3.35
In  0.7500  0.7500  0.7500  4 Li 3.35, 4 Tm 3.35

4.
Li2AcTmIn4: optimized geometry, PBE-GGA.

DOS at the Fermi energy	2.34	states/eV per cell
E	-3.295	eV per atom
energy relative to the elements	-290	kJ/mol of formula units

Unit cell a=10.7064 b=10.7064 c=10.7064 alpha=26.14 beta=26.14 gamma=26.14
Last column: nearest neighbours and their distance in Å.
Element x y z (fractional)
Li  0.2335  0.2335  0.2335  6 In 2.86-2.99
Li  0.7665  0.7665  0.7665  6 In 2.86-2.99
Ac  0.0000  0.0000  0.0000  8 In 3.46-3.68
Tm  0.5000  0.5000  0.5000  8 In 3.12-3.17, 6 Li 3.48
In  0.1186  0.1186  0.1186  3 Li 2.86, 3 Tm 3.17
In  0.3993  0.3993  0.3993  3 Li 2.99, 1 Tm 3.12, 3 In 3.24
In  0.6007  0.6007  0.6007  3 Li 2.99, 1 Tm 3.12, 3 In 3.24
In  0.8814  0.8814  0.8814  3 Li 2.86, 3 Tm 3.17

5.
Li2AcTm2In2: optimized geometry, PBE-GGA.

DOS at the Fermi energy	5.73	states/eV per cell
E	-3.431	eV per atom
energy relative to the elements	-160	kJ/mol of formula units

Unit cell a=9.6096 b=9.6096 c=9.6096 alpha=29.80 beta=29.80 gamma=29.80
Last column: nearest neighbours and their distance in Å.
Element x y z (fractional)
Li  0.0785  0.0785  0.0785  3 In 2.86, 3 Tm 3.10
Li  0.9215  0.9215  0.9215  3 In 2.86, 3 Tm 3.10
Ac  0.5000  0.5000  0.5000  6 In 3.63, 2 Tm 3.64, 6 Li 3.75
Tm  0.3676  0.3676  0.3676  3 Li 3.10, 4 In 3.18-3.29, 3 Tm 3.42
Tm  0.6324  0.6324  0.6324  3 Li 3.10, 4 In 3.18-3.29, 3 Tm 3.42
In  0.2483  0.2483  0.2483  3 Li 2.86, 3 Tm 3.18
In  0.7517  0.7517  0.7517  3 Li 2.86, 3 Tm 3.18

6.
LiAc2TmIn6: optimized geometry, PBE-GGA.

DOS at the Fermi energy	3.11	states/eV per cell
E	-3.302	eV per atom
energy relative to the elements	-192	kJ/mol of formula units

Unit cell a=7.5060 b=7.5060 c=7.4923 alpha=119.93 beta=119.93 gamma=90.00
Last column: nearest neighbours and their distance in Å.
Element x y z (fractional)
Li  0.0000  0.0000  0.0000  6 In 2.43
Ac  0.2498  0.7502  0.5000  12 In 3.75-3.77
Ac  0.7502  0.2498  0.5000  12 In 3.75-3.77
Tm  0.5000  0.5000  0.0000  6 In 2.88
In  0.2282  0.2282  0.9988  1 Li 2.43
In  0.2289  0.7711  0.0000  1 Li 2.43
In  0.2311  0.2311  0.4583  1 Li 2.43
In  0.7689  0.7689  0.5417  1 Li 2.43
In  0.7711  0.2289  0.0000  1 Li 2.43
In  0.7718  0.7718  0.0012  1 Li 2.43

7.
Li2Ac2TmIn5: optimized geometry, PBE-GGA.

DOS at the Fermi energy	10.94	states/eV per cell
E	-3.428	eV per atom
energy relative to the elements	-392	kJ/mol of formula units

Unit cell a=10.6385 b=10.6385 c=4.6468 alpha=90.00 beta=90.00 gamma=90.00
Last column: nearest neighbours and their distance in Å.
Element x y z (fractional)
Li  0.1122  0.3878  0.0000  6 In 2.87-3.05, 1 Ac 3.09
Li  0.3878  0.8878  0.0000  6 In 2.87-3.05, 1 Ac 3.09
Li  0.6122  0.1122  0.0000  6 In 2.87-3.05, 1 Ac 3.09
Li  0.8878  0.6122  0.0000  6 In 2.87-3.05, 1 Ac 3.09
Ac  0.1822  0.6822  0.0000  3 Li 3.09-3.22
Ac  0.3178  0.1822  0.0000  3 Li 3.09-3.22
Ac  0.6822  0.8178  0.0000  3 Li 3.09-3.22
Ac  0.8178  0.3178  0.0000  3 Li 3.09-3.22
Tm  0.0000  0.0000  0.0000  8 In 3.28
Tm  0.5000  0.5000  0.0000  8 In 3.28
In  0.0000  0.5000  0.5000  4 Li 2.87, 4 In 3.16
In  0.0606  0.2089  0.5000  2 Li 3.05, 3 In 3.16-3.27, 2 Tm 3.28
In  0.2089  0.9394  0.5000  2 Li 3.05, 3 In 3.16-3.27, 2 Tm 3.28
In  0.2911  0.4394  0.5000  2 Li 3.05, 3 In 3.16-3.27, 2 Tm 3.28
In  0.4394  0.7089  0.5000  2 Li 3.05, 3 In 3.16-3.27, 2 Tm 3.28
In  0.5000  0.0000  0.5000  4 Li 2.87, 4 In 3.16
In  0.5606  0.2911  0.5000  2 Li 3.05, 3 In 3.16-3.27, 2 Tm 3.28
In  0.7089  0.5606  0.5000  2 Li 3.05, 3 In 3.16-3.27, 2 Tm 3.28
In  0.7911  0.0606  0.5000  2 Li 3.05, 3 In 3.16-3.27, 2 Tm 3.28
In  0.9394  0.7911  0.5000  2 Li 3.05, 3 In 3.16-3.27, 2 Tm 3.28

8.
Li2Ac2YIn5: optimized geometry, PBE-GGA.

DOS at the Fermi energy	11.64	states/eV per cell
E	-3.640	eV per atom
energy relative to the elements	-405	kJ/mol of formula units

Unit cell a=10.6969 b=10.6969 c=4.6395 alpha=90.00 beta=90.00 gamma=90.00
Last column: nearest neighbours and their distance in Å.
Element x y z (fractional)
Li  0.1132  0.3868  0.0000  6 In 2.88-3.04, 1 Ac 3.11
Li  0.3868  0.8868  0.0000  6 In 2.88-3.04, 1 Ac 3.11
Li  0.6132  0.1132  0.0000  6 In 2.88-3.04, 1 Ac 3.11
Li  0.8868  0.6132  0.0000  6 In 2.88-3.04, 1 Ac 3.11
Ac  0.1811  0.6811  0.0000  3 Li 3.11-3.23
Ac  0.3189  0.1811  0.0000  3 Li 3.11-3.23
Ac  0.6811  0.8189  0.0000  3 Li 3.11-3.23
Ac  0.8189  0.3189  0.0000  3 Li 3.11-3.23
Y  0.0000  0.0000  0.0000  8 In 3.30
Y  0.5000  0.5000  0.0000  8 In 3.30
In  0.0000  0.5000  0.5000  4 Li 2.88, 4 In 3.16
In  0.0623  0.2110  0.5000  2 Li 3.04, 3 In 3.16-3.33, 2 Y 3.30
In  0.2110  0.9377  0.5000  2 Li 3.04, 3 In 3.16-3.33, 2 Y 3.30
In  0.2890  0.4377  0.5000  2 Li 3.04, 3 In 3.16-3.33, 2 Y 3.30
In  0.4377  0.7110  0.5000  2 Li 3.04, 3 In 3.16-3.33, 2 Y 3.30
In  0.5000  0.0000  0.5000  4 Li 2.88, 4 In 3.16
In  0.5623  0.2890  0.5000  2 Li 3.04, 3 In 3.16-3.33, 2 Y 3.30
In  0.7110  0.5623  0.5000  2 Li 3.04, 3 In 3.16-3.33, 2 Y 3.30
In  0.7890  0.0623  0.5000  2 Li 3.04, 3 In 3.16-3.33, 2 Y 3.30
In  0.9377  0.7890  0.5000  2 Li 3.04, 3 In 3.16-3.33, 2 Y 3.30

9.
LiAcYIn: optimized geometry, PBE-GGA.

DOS at the Fermi energy	15.12	states/eV per cell
E	-4.031	eV per atom
energy relative to the elements	-87	kJ/mol of formula units

Unit cell a=7.8428 b=7.8428 c=7.8428 alpha=90.00 beta=90.00 gamma=90.00
Last column: nearest neighbours and their distance in Å.
Element x y z (fractional)
Li  0.0000  0.0000  0.0000  4 Ac 3.40, 4 Y 3.40
Li  0.0000  0.5000  0.5000  4 Ac 3.40, 4 Y 3.40
Li  0.5000  0.0000  0.5000  4 Ac 3.40, 4 Y 3.40
Li  0.5000  0.5000  0.0000  4 Ac 3.40, 4 Y 3.40
Ac  0.2500  0.2500  0.7500  4 In 3.40, 4 Li 3.40
Ac  0.2500  0.7500  0.2500  4 In 3.40, 4 Li 3.40
Ac  0.7500  0.2500  0.2500  4 In 3.40, 4 Li 3.40
Ac  0.7500  0.7500  0.7500  4 Li 3.40, 4 In 3.40
Y  0.2500  0.2500  0.2500  4 In 3.40, 4 Li 3.40
Y  0.2500  0.7500  0.7500  4 In 3.40, 4 Li 3.40
Y  0.7500  0.2500  0.7500  4 In 3.40, 4 Li 3.40
Y  0.7500  0.7500  0.2500  4 In 3.40, 4 Li 3.40
In  0.0000  0.0000  0.5000  4 Y 3.40, 4 Ac 3.40
In  0.0000  0.5000  0.0000  4 Y 3.40, 4 Ac 3.40
In  0.5000  0.0000  0.0000  4 Y 3.40, 4 Ac 3.40
In  0.5000  0.5000  0.5000  4 Y 3.40, 4 Ac 3.40

10.
LiAcZnIn: optimized geometry, PBE-GGA.

DOS at the Fermi energy	8.87	states/eV per cell
E	-2.786	eV per atom
energy relative to the elements	-107	kJ/mol of formula units

Unit cell a=7.2972 b=7.2972 c=7.2972 alpha=90.00 beta=90.00 gamma=90.00
Last column: nearest neighbours and their distance in Å.
Element x y z (fractional)
Li  0.0000  0.0000  0.0000  4 In 3.16, 4 Ac 3.16
Li  0.0000  0.5000  0.5000  4 Ac 3.16, 4 In 3.16
Li  0.5000  0.0000  0.5000  4 Ac 3.16, 4 In 3.16
Li  0.5000  0.5000  0.0000  4 Ac 3.16, 4 In 3.16
Ac  0.2500  0.2500  0.2500  4 Li 3.16, 4 Zn 3.16
Ac  0.2500  0.7500  0.7500  4 Li 3.16, 4 Zn 3.16
Ac  0.7500  0.2500  0.7500  4 Li 3.16, 4 Zn 3.16
Ac  0.7500  0.7500  0.2500  4 Li 3.16, 4 Zn 3.16
Zn  0.0000  0.0000  0.5000  4 Ac 3.16, 4 In 3.16
Zn  0.0000  0.5000  0.0000  4 Ac 3.16, 4 In 3.16
Zn  0.5000  0.0000  0.0000  4 Ac 3.16, 4 In 3.16
Zn  0.5000  0.5000  0.5000  4 Ac 3.16, 4 In 3.16
In  0.2500  0.2500  0.7500  4 Li 3.16, 4 Zn 3.16
In  0.2500  0.7500  0.2500  4 Li 3.16, 4 Zn 3.16
In  0.7500  0.2500  0.2500  4 Li 3.16, 4 Zn 3.16
In  0.7500  0.7500  0.7500  4 Li 3.16, 4 Zn 3.16